Record 1
## ScNi4Sb (PBE)

Data for crystalline ScNi4Sb at its relaxed geometry.

The structure in POSCAR format:
```
ScNi4Sb
1.0
4.892 0.000 0.000
2.446 4.237 0.000
2.446 1.412 3.995
Ni Sb Sc
4 1 1
Direct
0.123 0.626 0.626
0.626 0.626 0.626
0.626 0.123 0.626
0.626 0.626 0.123
0.250 0.250 0.250
0.000 0.000 0.000
```

Results
The space-group type is F-43m, No. 216. Its density of states at the Fermi level is 0.840 states/eV/atom. The volume comes out at 82.8 Å³/cell. As for the uncorrected formation energy: -0.364 eV/atom.

***

Record 2
## KTc2B (PBE)

Data for crystalline KTc2B at its relaxed geometry.

The structure in POSCAR format:
```
KTc2B
1.0
6.382 0.000 0.000
0.000 6.382 0.000
3.191 3.191 4.523
K B Tc
2 2 4
Direct
0.000 0.000 0.000
0.750 0.250 0.500
0.500 0.500 0.000
0.250 0.750 0.500
0.375 0.125 0.250
0.375 0.625 0.250
0.375 0.625 0.750
0.875 0.625 0.750
```

Results
The space-group type is I4_1/amd, No. 141. Its density of states at the Fermi level is 1.119 states/eV/atom. The volume comes out at 184.2 Å³/cell. For the formation energy, the calculation gives 1.326 eV/atom.

***

Record 3
## Rb2Ba6Au (PBE)

Data for crystalline Rb2Ba6Au at its relaxed geometry.

The structure in POSCAR format:
```
Rb2Ba6Au
1.0
7.496 0.000 0.000
0.000 9.019 -5.207
0.000 0.000 10.414
Rb Ba Au
2 6 1
Direct
0.500 0.667 0.333
0.500 0.333 0.667
0.241 0.000 0.252
0.241 0.748 0.748
0.759 0.000 0.748
0.759 0.748 0.000
0.759 0.252 0.252
0.241 0.252 0.000
0.000 0.000 0.000
```

Results
The space-group type is P-31m, No. 162. Its density of states at the Fermi level is 1.357 states/eV/atom. The volume comes out at 704.0 Å³/cell. For the formation energy, the calculation gives 0.079 eV/atom.

***

Record 4
## FeHgBr2 (PBE)

Data for crystalline FeHgBr2 at its relaxed geometry.

The structure in POSCAR format:
```
FeHgBr2
1.0
6.762 -0.036 0.039
2.221 6.387 -0.039
-3.154 -5.068 3.177
Br Fe Hg
2 1 1
Direct
0.911 0.911 0.000
0.589 0.589 0.000
0.750 0.250 0.500
0.250 0.750 0.500
```

Results
The space-group type is Immm, No. 71. Its density of states at the Fermi level is 0.770 states/eV/atom. The volume comes out at 136.5 Å³/cell. As for the uncorrected formation energy: -0.165 eV/atom.

***

Record 5
## ZrTa2HOs (PBE)

Data for crystalline ZrTa2HOs at its relaxed geometry.

The structure in POSCAR format:
```
ZrTa2HOs
1.0
-1.538 2.657 2.552
-3.281 0.270 -2.259
-1.977 -3.500 2.452
H Os Zr Ta
1 1 1 2
Direct
0.000 0.000 0.000
0.500 0.500 0.500
0.000 0.000 0.500
0.000 0.500 0.000
0.500 0.000 0.000
```

Results
The space-group type is P4/mmm, No. 123. Its density of states at the Fermi level is 0.652 states/eV/atom. The volume comes out at 75.0 Å³/cell.

***

Record 6
## Pm2Ga3Ni4Pd (PBE)

Data for crystalline Pm2Ga3Ni4Pd at its relaxed geometry.

The structure in POSCAR format:
```
Pm2Ga3Ni4Pd
1.0
3.936 0.000 0.000
0.000 3.936 0.000
0.000 0.000 10.932
Pm Ga Ni Pd
2 3 4 1
Direct
0.500 0.000 0.256
0.000 0.500 0.744
0.000 0.000 0.500
0.500 0.000 0.873
0.000 0.500 0.127
0.500 0.500 0.000
0.000 0.000 0.000
0.500 0.000 0.651
0.000 0.500 0.349
0.500 0.500 0.500
```

Results
The space-group type is P-4m2, No. 115. Its density of states at the Fermi level is 0.654 states/eV/atom. The volume comes out at 169.3 Å³/cell. For the formation energy, the calculation gives -0.532 eV/atom.

***

Record 7
## MgZrScCd (PBE)

Data for crystalline MgZrScCd at its relaxed geometry.

The structure in POSCAR format:
```
MgZrScCd
1.0
-2.402 3.956 -1.885
-4.350 -0.619 -2.381
-4.248 1.580 2.105
Sc Mg Zr Cd
1 1 1 1
Direct
0.000 0.000 0.000
0.250 0.250 0.250
0.500 0.500 0.500
0.750 0.750 0.750
```

Results
The space-group type is F-43m, No. 216. Its density of states at the Fermi level is 0.978 states/eV/atom. The volume comes out at 88.2 Å³/cell. For the formation energy, the calculation gives -0.065 eV/atom.

***

Record 8
## Pr2AlPb (PBE)

Data for crystalline Pr2AlPb at its relaxed geometry.

The structure in POSCAR format:
```
Pr2AlPb
1.0
3.576 0.000 0.000
0.000 3.576 0.000
0.000 0.000 8.975
Pb Pr Al
1 2 1
Direct
0.500 0.500 0.500
0.000 0.000 0.768
0.000 0.000 0.232
0.500 0.500 0.000
```

Results
The space-group type is P4/mmm, No. 123. Its density of states at the Fermi level is 0.700 states/eV/atom. The volume comes out at 114.8 Å³/cell. For the formation energy, the calculation gives -0.415 eV/atom.

***

Record 9
## Nb2VH (PBE)

Data for crystalline Nb2VH at its relaxed geometry.

The structure in POSCAR format:
```
Nb2VH
1.0
-0.026 -0.913 2.873
2.146 -2.024 -0.624
4.220 4.064 1.330
H Nb V
1 2 1
Direct
0.500 0.500 0.000
0.000 0.000 0.773
0.000 0.000 0.227
0.500 0.500 0.500
```

Results
The space-group type is P4/mmm, No. 123. Its density of states at the Fermi level is 0.912 states/eV/atom. The volume comes out at 54.6 Å³/cell.

***

Record 10
## LaSnBRh3 (PBE)

Data for crystalline LaSnBRh3 at its relaxed geometry.

The structure in POSCAR format:
```
LaSnBRh3
1.0
5.934 0.000 0.000
0.000 5.904 0.000
0.000 -2.952 6.443
La Sn B Rh
2 2 2 6
Direct
0.750 0.254 0.509
0.250 0.746 0.491
0.250 0.380 0.759
0.750 0.620 0.241
0.250 0.019 0.038
0.750 0.981 0.962
0.250 0.180 0.359
0.000 0.239 0.000
0.500 0.761 0.000
0.500 0.239 0.000
0.000 0.761 0.000
0.750 0.820 0.641
```

Results
The space-group type is Cmcm, No. 63. Its density of states at the Fermi level is 0.427 states/eV/atom. The volume comes out at 225.7 Å³/cell. For the formation energy, the calculation gives -0.619 eV/atom.

***

Record 11
## CaHgRh (PBE)

Data for crystalline CaHgRh at its relaxed geometry.

The structure in POSCAR format:
```
CaHgRh
1.0
7.314 0.000 0.022
0.000 4.496 0.000
-3.588 0.000 8.320
Ca Rh Hg
4 4 4
Direct
0.056 0.000 0.953
0.056 0.500 0.453
0.535 0.000 0.727
0.535 0.500 0.227
0.860 0.000 0.221
0.860 0.500 0.721
0.495 0.000 0.017
0.495 0.500 0.517
0.282 0.000 0.345
0.282 0.500 0.845
0.782 0.000 0.510
0.782 0.500 0.010
```

Results
The space-group type is Cm, No. 8. Its density of states at the Fermi level is 0.447 states/eV/atom. The volume comes out at 274.0 Å³/cell. For the formation energy, the calculation gives -0.321 eV/atom.

***

Number 1: final energy -5.961 eV/atom. Number 2: final energy -5.801 eV/atom. Number 3: final energy -1.782 eV/atom. Number 4: final energy -3.192 eV/atom. Number 5: final energy -9.416 eV/atom. Number 6: final energy -5.222 eV/atom. Number 7: final energy -4.413 eV/atom. Number 8: final energy -4.668 eV/atom. Number 9: final energy -7.763 eV/atom. Number 10: final energy -6.896 eV/atom. Number 11: final energy -3.539 eV/atom.